1.
Computed, not measured: a relaxed TlH4Cl crystal at the GGA-PBE level of DFT.

a b c (Å): 4.3826 4.4063 6.3258
angles (deg): 95.45 97.55 90.10
With the nearest neighbours (Å) after each atom.
Fractional positions:
Tl 0.0000 0.0000 0.0000  4 Cl 3.10-3.11, 4 H 3.25-3.34
H 0.2287 0.7874 0.4879  1 H 0.75
H 0.2905 0.7030 0.5823  1 H 0.75
H 0.7095 0.2970 0.4177  1 H 0.75
H 0.7713 0.2126 0.5121  1 H 0.75
Cl 0.5000 0.5000 0.0000  2 H 2.91, 4 Tl 3.10-3.11

Summary:
* space group: P-1 (2)
* mass density: 3.36 g/cm³

=====

2.
Computed, not measured: a relaxed Tl2H2Cl7 crystal at the GGA-PBE level of DFT.

a b c (Å): 7.6021 7.6021 13.3524
angles (deg): 99.28 99.28 94.92
With the nearest neighbours (Å) after each atom.
Fractional positions:
Tl 0.0097 0.4773 0.3513  4 Cl 2.55-2.75
Tl 0.4773 0.0097 0.8513  4 Cl 2.55-2.75
Tl 0.5227 0.9903 0.1487  4 Cl 2.55-2.75
Tl 0.9903 0.5227 0.6487  4 Cl 2.55-2.75
H 0.1828 0.6307 0.1388  1 Cl 1.34
H 0.3693 0.8172 0.3612  1 Cl 1.34
H 0.6307 0.1828 0.6388  1 Cl 1.34
H 0.8172 0.3693 0.8612  1 Cl 1.34
Cl 0.1629 0.7709 0.0898  1 H 1.34
Cl 0.1646 0.3395 0.5066  2 Tl 2.63-2.75
Cl 0.1896 0.4121 0.2065  1 H 2.02
Cl 0.2291 0.8371 0.4102  1 H 1.34
Cl 0.2961 0.7039 0.7500  2 Tl 2.64
Cl 0.3395 0.1646 0.0066  2 Tl 2.63-2.75
Cl 0.4121 0.1896 0.7065  1 H 2.02
Cl 0.5879 0.8104 0.2935  1 H 2.02
Cl 0.6605 0.8354 0.9934  2 Tl 2.63-2.75
Cl 0.7039 0.2961 0.2500  2 Tl 2.64
Cl 0.7709 0.1629 0.5898  1 H 1.34
Cl 0.8104 0.5879 0.7935  1 H 2.02
Cl 0.8354 0.6605 0.4934  2 Tl 2.63-2.75
Cl 0.8371 0.2291 0.9102  1 H 1.34

Summary:
* space group: C2/c (15)
* mass density: 2.93 g/cm³

=====

3.
Computed, not measured: a relaxed Tl4H2Cl crystal at the GGA-PBE level of DFT.

a b c (Å): 5.7155 5.7155 14.2845
angles (deg): 90.00 90.00 90.00
With the nearest neighbours (Å) after each atom.
Fractional positions:
Tl 0.0000 0.0000 0.2297  1 H 2.06
Tl 0.0000 0.0000 0.7703  1 H 2.06
Tl 0.0000 0.5000 0.0000  2 Cl 2.86, 4 H 3.11
Tl 0.0000 0.5000 0.5000  2 Cl 2.86, 4 H 3.11
Tl 0.5000 0.0000 0.0000  2 Cl 2.86, 4 H 3.11
Tl 0.5000 0.0000 0.5000  2 Cl 2.86, 4 H 3.11
Tl 0.5000 0.5000 0.2703  1 H 2.06
Tl 0.5000 0.5000 0.7297  1 H 2.06
H 0.0000 0.0000 0.0859  1 Tl 2.06
H 0.0000 0.0000 0.9141  1 Tl 2.06
H 0.5000 0.5000 0.4141  1 Tl 2.06
H 0.5000 0.5000 0.5859  1 Tl 2.06
Cl 0.0000 0.0000 0.5000  4 Tl 2.86
Cl 0.5000 0.5000 0.0000  4 Tl 2.86

Summary:
* space group: I4/mmm (139)
* mass density: 6.09 g/cm³

=====

4.
Computed, not measured: a relaxed TlH3Cl6 crystal at the GGA-PBE level of DFT.

a b c (Å): 10.1511 10.1511 10.1511
angles (deg): 118.62 118.62 118.62
With the nearest neighbours (Å) after each atom.
Fractional positions:
Tl 0.0000 0.0000 0.0000  6 Cl 2.67
H 0.2195 0.7096 0.7096  1 Cl 1.29
H 0.7096 0.2195 0.7096  1 Cl 1.29
H 0.7096 0.7096 0.2195  1 Cl 1.29
Cl 0.0201 0.0201 0.4520  1 H 1.29
Cl 0.0201 0.4520 0.0201  1 H 1.29
Cl 0.3693 0.5649 0.5649  2 Tl 2.67, 1 H 2.97
Cl 0.4520 0.0201 0.0201  1 H 1.29
Cl 0.5649 0.3693 0.5649  2 Tl 2.67, 1 H 2.97
Cl 0.5649 0.5649 0.3693  2 Tl 2.67, 1 H 2.97

Summary:
* space group: R3m (160)
* mass density: 2.20 g/cm³
* energy above the most stable polymorph in this dataset: 0 meV/atom

=====

5.
Computed, not measured: a relaxed Tl2H3Cl crystal at the GGA-PBE level of DFT.

a b c (Å): 10.3390 8.9943 8.7742
angles (deg): 71.15 55.42 53.43
With the nearest neighbours (Å) after each atom.
Fractional positions:
Tl 0.0071 0.0071 0.2429  2 H 2.17
Tl 0.2231 0.2231 0.5269  4 Cl 3.12-3.25, 4 H 3.40-3.43, 1 Tl 3.43
Tl 0.2429 0.2429 0.0071  2 H 2.17
Tl 0.4731 0.4731 0.7769  4 Cl 3.12-3.25, 4 H 3.40-3.43, 1 Tl 3.43
Tl 0.5269 0.5269 0.2231  4 Cl 3.12-3.25, 4 H 3.40-3.43, 1 Tl 3.43
Tl 0.7571 0.7571 0.9929  2 H 2.17
Tl 0.7769 0.7769 0.4731  4 Cl 3.12-3.25, 4 H 3.40-3.43, 1 Tl 3.43
Tl 0.9929 0.9929 0.7571  2 H 2.17
H 0.0364 0.2136 0.0364  2 Tl 2.17
H 0.0996 0.6531 0.5977  1 H 0.76
H 0.1496 0.5977 0.6531  1 H 0.76
H 0.2136 0.0364 0.2136  2 Tl 2.17
H 0.3469 0.9004 0.8504  1 H 0.76
H 0.4023 0.8504 0.9004  1 H 0.76
H 0.5977 0.1496 0.0996  1 H 0.76
H 0.6531 0.0996 0.1496  1 H 0.76
H 0.7864 0.9636 0.7864  2 Tl 2.17
H 0.8504 0.4023 0.3469  1 H 0.76
H 0.9004 0.3469 0.4023  1 H 0.76
H 0.9636 0.7864 0.9636  2 Tl 2.17
Cl 0.2253 0.5247 0.2253  2 H 3.09, 4 Tl 3.12-3.25
Cl 0.4753 0.7747 0.4753  2 H 3.09, 4 Tl 3.12-3.25
Cl 0.5247 0.2253 0.5247  2 H 3.09, 4 Tl 3.12-3.25
Cl 0.7747 0.4753 0.7747  2 H 3.09, 4 Tl 3.12-3.25

Summary:
* space group: Fddd (70)
* mass density: 5.51 g/cm³

=====

6.
Computed, not measured: a relaxed TlVHCl6 crystal at the GGA-PBE level of DFT.

a b c (Å): 6.5575 6.6994 7.0860
angles (deg): 87.46 77.00 64.48
With the nearest neighbours (Å) after each atom.
Fractional positions:
Tl 0.0000 0.0000 0.0000  4 Cl 3.14-3.39
V 0.7805 0.6188 0.5681  5 Cl 2.18-2.42
H 0.2624 0.3097 0.2158  1 Cl 1.34
Cl 0.0603 0.3921 0.7031  1 V 2.20
Cl 0.0767 0.6316 0.3012  1 H 2.01
Cl 0.3800 0.0928 0.1632  1 H 1.34
Cl 0.5019 0.6061 0.8224  1 V 2.29
Cl 0.6644 0.4828 0.3618  1 V 2.18
Cl 0.6704 0.9719 0.6287  1 V 2.19

Summary:
* space group: P1 (1)
* mass density: 2.85 g/cm³

=====

The calculated total energy results, record by record, are as follows: -3.2585, -2.7708, -2.4265, -2.8714, -2.9358, -3.8423 eV/atom.
The DOS at the Fermi energy results, record by record, are as follows: 0.00, 7.91, 4.88, 0.00, 0.00, 5.86 states/eV/cell.
The total magnetization results, record by record, are as follows: 0.00, 0.00, 0.00, 0.00, 0.00, 1.00 μB per cell.